No. 1
## SrNpCuS4 (GGA-PBE)

Data for a geometry-optimized SrNpCuS4 structure.

a = 6.7214 Å, b = 5.5661 Å, c = 8.3404 Å
α = 90.00°, β = 107.38°, γ = 90.00°
Element x y z (fractional)
1 Sr 0.7317 0.7500 0.9366
2 Sr 0.2683 0.2500 0.0634
3 Np 0.7368 0.7500 0.4384
4 Np 0.2632 0.2500 0.5616
5 Cu 0.2422 0.7500 0.3132
6 Cu 0.7578 0.2500 0.6868
7 S 0.0215 0.5170 0.7280
8 S 0.9785 0.0170 0.2720
9 S 0.9785 0.4830 0.2720
10 S 0.0215 0.9830 0.7280
11 S 0.4401 0.7500 0.1372
12 S 0.5599 0.2500 0.8628
13 S 0.4249 0.7500 0.5886
14 S 0.5751 0.2500 0.4114

Electronic total energy (eV/cell): -87.3
Energy relative to the elements, uncorrected (eV/atom): -1.205
SG: P2_1/m, No. 11
Total magnetization (Bohr magnetons per cell): 6.4


No. 2
## LaZn2P (GGA-PBE)

Data for a geometry-optimized LaZn2P structure.

a = 6.4228 Å, b = 6.4134 Å, c = 4.0902 Å
α = 71.54°, β = 71.29°, γ = 37.16°
Element x y z (fractional)
1 La 0.0000 0.0000 0.0000
2 Zn 0.0000 0.5000 0.0000
3 Zn 0.5000 0.0000 0.5000
4 P 0.5000 0.5000 0.5000

Electronic total energy (eV/cell): -14.3
Formation enthalpy at 0 K (eV/atom): -0.354
SG: Fmmm, No. 69
Total magnetization (Bohr magnetons per cell): 0.0


No. 3
## BaLiGa2Ir (GGA-PBE)

Data for a geometry-optimized BaLiGa2Ir structure.

a = 4.8385 Å, b = 4.8385 Å, c = 5.0618 Å
α = 90.00°, β = 90.00°, γ = 90.00°
Element x y z (fractional)
1 Ir 0.0000 0.0000 0.0000
2 Ba 0.5000 0.5000 0.5000
3 Ga 0.0000 0.5000 0.0000
4 Ga 0.5000 0.0000 0.0000
5 Li 0.0000 0.0000 0.5000

Electronic total energy (eV/cell): -21.1
Formation enthalpy at 0 K (eV/atom): -0.460
SG: P4/mmm, No. 123
Total magnetization (Bohr magnetons per cell): 0.0


No. 4
## Rb3Ac2CrSe6 (GGA-PBE)

Data for a geometry-optimized Rb3Ac2CrSe6 structure.

a = 7.5840 Å, b = 7.5840 Å, c = 8.4210 Å
α = 98.74°, β = 98.74°, γ = 120.02°
Element x y z (fractional)
1 Rb 0.1701 0.8299 0.5000
2 Rb 0.8299 0.1701 0.5000
3 Rb 0.5000 0.5000 0.5000
4 Ac 0.3338 0.6662 0.0000
5 Ac 0.6662 0.3338 0.0000
6 Cr 0.0000 0.0000 0.0000
7 Se 0.9352 0.6432 0.8062
8 Se 0.7746 0.7746 0.1942
9 Se 0.0648 0.3568 0.1938
10 Se 0.6432 0.9352 0.8062
11 Se 0.2254 0.2254 0.8058
12 Se 0.3568 0.0648 0.1938

Electronic total energy (eV/cell): -58.2
Energy relative to the elements, uncorrected (eV/atom): -1.380
SG: C2/m, No. 12
Total magnetization (Bohr magnetons per cell): 3.0


No. 5
## La2SnGe3Rh4 (GGA-PBE)

Data for a geometry-optimized La2SnGe3Rh4 structure.

a = 4.3374 Å, b = 4.3374 Å, c = 10.4485 Å
α = 90.00°, β = 90.00°, γ = 90.00°
Element x y z (fractional)
1 La 0.5000 0.0000 0.2476
2 La 0.0000 0.5000 0.7524
3 Sn 0.5000 0.5000 0.5000
4 Ge 0.0000 0.0000 0.5000
5 Ge 0.5000 0.0000 0.8761
6 Ge 0.0000 0.5000 0.1239
7 Rh 0.5000 0.5000 0.0000
8 Rh 0.0000 0.0000 0.0000
9 Rh 0.5000 0.0000 0.6405
10 Rh 0.0000 0.5000 0.3595

Electronic total energy (eV/cell): -65.7
Formation enthalpy at 0 K (eV/atom): -0.856
SG: P-4m2, No. 115
Total magnetization (Bohr magnetons per cell): 0.0


No. 6
## DyHo6Tm12 (GGA-PBE)

Data for a geometry-optimized DyHo6Tm12 structure.

a = 9.1500 Å, b = 9.1500 Å, c = 9.1500 Å
α = 107.10°, β = 107.10°, γ = 107.10°
Element x y z (fractional)
1 Dy 0.0000 0.0000 0.0000
2 Ho 0.6854 0.2876 0.6854
3 Ho 0.6854 0.6854 0.2876
4 Ho 0.2876 0.6854 0.6854
5 Ho 0.3146 0.3146 0.7124
6 Ho 0.3146 0.7124 0.3146
7 Ho 0.7124 0.3146 0.3146
8 Tm 0.8879 0.1121 0.5000
9 Tm 0.3375 0.1060 0.3375
10 Tm 0.3375 0.3375 0.1060
11 Tm 0.8940 0.6625 0.6625
12 Tm 0.6625 0.6625 0.8940
13 Tm 0.6625 0.8940 0.6625
14 Tm 0.5000 0.8879 0.1121
15 Tm 0.1121 0.5000 0.8879
16 Tm 0.1121 0.8879 0.5000
17 Tm 0.5000 0.1121 0.8879
18 Tm 0.8879 0.5000 0.1121
19 Tm 0.1060 0.3375 0.3375

Energy above the lowest structure with this stoichiometry (meV/atom): 291
Electronic total energy (eV/cell): -77.1
Formation enthalpy at 0 K (eV/atom): 0.456
SG: R-3m, No. 166
Total magnetization (Bohr magnetons per cell): 0.0


No. 7
## LiYBe (GGA-PBE)

Data for a geometry-optimized LiYBe structure.

a = 4.6235 Å, b = 4.6235 Å, c = 4.6235 Å
α = 60.00°, β = 60.00°, γ = 60.00°
Element x y z (fractional)
1 Be 0.0000 0.0000 0.0000
2 Li 0.5000 0.5000 0.5000
3 Y 0.7500 0.7500 0.7500

Energy above the lowest structure with this stoichiometry (meV/atom): 603
Electronic total energy (eV/cell): -9.6
Formation enthalpy at 0 K (eV/atom): 0.849
SG: F-43m, No. 216
Total magnetization (Bohr magnetons per cell): 0.0


No. 8
## Nd2SmCd2 (GGA-PBE)

Data for a geometry-optimized Nd2SmCd2 structure.

a = 3.6381 Å, b = 8.7617 Å, c = 9.9124 Å
α = 90.00°, β = 90.00°, γ = 101.98°
Element x y z (fractional)
1 Nd 0.8646 0.7291 0.1865
2 Nd 0.3121 0.6241 0.8838
3 Nd 0.1354 0.2709 0.6865
4 Nd 0.6879 0.3759 0.3838
5 Sm 0.5392 0.0785 0.0148
6 Sm 0.4608 0.9215 0.5148
7 Cd 0.1908 0.3815 0.1101
8 Cd 0.9570 0.9141 0.7902
9 Cd 0.8092 0.6185 0.6101
10 Cd 0.0430 0.0859 0.2902

Energy above the lowest structure with this stoichiometry (meV/atom): 146
Electronic total energy (eV/cell): -33.2
Formation enthalpy at 0 K (eV/atom): -0.105
SG: Cmc2_1, No. 36
Total magnetization (Bohr magnetons per cell): 0.0


No. 9
## KRb2 (GGA-PBE)

Data for a geometry-optimized KRb2 structure.

a = 7.8989 Å, b = 7.8989 Å, c = 4.6846 Å
α = 90.00°, β = 90.00°, γ = 120.00°
Element x y z (fractional)
1 K 0.0000 0.0000 0.0000
2 Rb 0.3333 0.6667 0.4997
3 Rb 0.6667 0.3333 0.5003

Energy above the lowest structure with this stoichiometry (meV/atom): 13
Electronic total energy (eV/cell): -3.0
Formation enthalpy at 0 K (eV/atom): 0.018
SG: P6/mmm, No. 191
Total magnetization (Bohr magnetons per cell): 0.0


No. 10
## OsRh2Au (GGA-PBE)

Data for a geometry-optimized OsRh2Au structure.

a = 2.7258 Å, b = 2.7258 Å, c = 9.5790 Å
α = 90.00°, β = 90.00°, γ = 119.62°
Element x y z (fractional)
1 Os 0.5000 0.5000 0.2366
2 Rh 0.0000 0.0000 0.0017
3 Rh 0.5000 0.5000 0.7595
4 Au 0.0000 0.0000 0.5022

Energy above the lowest structure with this stoichiometry (meV/atom): 351
Electronic total energy (eV/cell): -27.5
Formation enthalpy at 0 K (eV/atom): 0.417
SG: Cmm2, No. 35
Total magnetization (Bohr magnetons per cell): 0.0


No. 11
## LaSb2Te (GGA-PBE)

Data for a geometry-optimized LaSb2Te structure.

a = 8.0174 Å, b = 8.0174 Å, c = 8.0174 Å
α = 34.14°, β = 34.14°, γ = 34.14°
Element x y z (fractional)
1 La 0.7474 0.7474 0.7474
2 Sb 0.9912 0.9912 0.9912
3 Sb 0.2741 0.2741 0.2741
4 Te 0.4874 0.4874 0.4874

Electronic total energy (eV/cell): -18.8
Energy relative to the elements, uncorrected (eV/atom): -0.615
SG: R3m, No. 160
Total magnetization (Bohr magnetons per cell): 0.0


No. 12
## AcCu3Bi4O12 (GGA-PBE)

Data for a geometry-optimized AcCu3Bi4O12 structure.

a = 7.1701 Å, b = 7.1701 Å, c = 7.1701 Å
α = 109.47°, β = 109.47°, γ = 109.47°
Element x y z (fractional)
1 Ac 0.0000 0.0000 0.0000
2 Cu 0.0000 0.5000 0.5000
3 Cu 0.5000 0.5000 0.0000
4 Cu 0.5000 0.0000 0.5000
5 Bi 0.5000 0.0000 0.0000
6 Bi 0.5000 0.5000 0.5000
7 Bi 0.0000 0.5000 0.0000
8 Bi 0.0000 0.0000 0.5000
9 O 0.3162 0.8474 0.1636
10 O 0.6838 0.1526 0.8364
11 O 0.6838 0.8474 0.5312
12 O 0.8364 0.6838 0.1526
13 O 0.8474 0.1636 0.3162
14 O 0.1526 0.4688 0.3162
15 O 0.4688 0.3162 0.1526
16 O 0.1526 0.8364 0.6838
17 O 0.3162 0.1526 0.4688
18 O 0.1636 0.3162 0.8474
19 O 0.8474 0.5312 0.6838
20 O 0.5312 0.6838 0.8474

Electronic total energy (eV/cell): -114.7
Energy relative to the elements, uncorrected (eV/atom): -1.166
SG: Im-3, No. 204
Total magnetization (Bohr magnetons per cell): 0.0


No. 13
## Be2Ni2W (GGA-PBE)

Data for a geometry-optimized Be2Ni2W structure.

a = 6.4598 Å, b = 6.4598 Å, c = 2.5413 Å
α = 90.00°, β = 90.00°, γ = 90.00°
Element x y z (fractional)
1 Ni 0.1721 0.6721 0.5000
2 Ni 0.6721 0.8279 0.5000
3 Ni 0.8279 0.3279 0.5000
4 Ni 0.3279 0.1721 0.5000
5 W 0.0000 0.0000 0.0000
6 W 0.5000 0.5000 0.0000
7 Be 0.3787 0.8787 0.0000
8 Be 0.8787 0.6213 0.0000
9 Be 0.6213 0.1213 0.0000
10 Be 0.1213 0.3787 0.0000

Energy above the lowest structure with this stoichiometry (meV/atom): 0
Electronic total energy (eV/cell): -65.6
Formation enthalpy at 0 K (eV/atom): -0.170
SG: P4/mbm, No. 127
Total magnetization (Bohr magnetons per cell): 0.0